Material: HfScFeHg2
Method: DFT, PBE
State: optimized geometry

Geometry as extended XYZ:
```
5
Lattice="5.265 0.000 0.000 0.000 5.265 0.000 0.000 0.000 5.028" Properties=species:S:1:pos:R:3 pbc="T T T"
Hf 0.000 0.000 0.000
Sc 0.000 0.000 2.514
Fe 2.633 2.633 0.000
Hg 0.000 2.633 2.514
Hg 2.633 0.000 2.514
```

SG: No. 123

Material: Ho2HfFe
Method: DFT, PBE
State: optimized geometry

Geometry as extended XYZ:
```
4
Lattice="1.624 0.937 10.322 -1.624 0.937 10.322 0.000 -1.875 10.322" Properties=species:S:1:pos:R:3 pbc="T T T"
Ho 0.000 0.000 3.186
Ho 0.000 0.000 27.781
Hf 0.000 0.000 0.000
Fe 0.000 0.000 15.483
```

SG: No. 166

We obtain calculated total energy values of -3.705, -6.405 eV per atom for the records listed above, in that order.
We obtain magnetization values of 3.30, 1.16 Bohr magnetons per cell for the records listed above, in that order.